1.
SeClF2 (meta-GGA SCAN, single point on PBEsol structure); crystal system = trigonal; magnetic moment = 0.003 μB per cell; formation energy from raw total energies = -0.60 eV/atom; space-group type = No. 166; total energy = -37.52 eV for the cell shown
1.0
1.432 0.826 9.820
-1.432 0.826 9.820
0.000 -1.653 9.820
Se Cl F
1 1 2
Cartesian
0.000 0.000 0.000
0.000 0.000 14.731
0.000 0.000 1.822
0.000 0.000 27.639

2.
SeCl2F (meta-GGA SCAN, single point on PBEsol structure); crystal system = trigonal; magnetic moment = 0.785 μB per cell; formation energy from raw total energies = 0.11 eV/atom; space-group type = No. 166; total energy = -39.12 eV for the cell shown
1.0
1.639 0.946 8.011
-1.639 0.946 8.011
0.000 -1.893 8.011
Se Cl F
1 2 1
Cartesian
0.000 0.000 0.000
0.000 0.000 2.221
0.000 0.000 21.812
0.000 0.000 12.016

3.
Te2SeClF (meta-GGA SCAN, single point on PBEsol structure); crystal system = tetragonal; magnetic moment = 0.000 μB per cell; formation energy from raw total energies = 0.28 eV/atom; space-group type = No. 123; total energy = -104.70 eV for the cell shown
1.0
4.702 0.000 0.000
0.000 4.702 0.000
0.000 0.000 4.967
Te Se Cl F
2 1 1 1
Cartesian
0.000 2.351 0.000
2.351 0.000 0.000
0.000 0.000 2.483
2.351 2.351 2.483
2.351 2.351 0.000

4.
SiCl3F (meta-GGA SCAN, single point on PBEsol structure); crystal system = cubic; magnetic moment = 0.496 μB per cell; formation energy from raw total energies = -0.43 eV/atom; space-group type = No. 221; total energy = -39.65 eV for the cell shown
1.0
4.519 0.000 0.000
0.000 4.519 0.000
0.000 0.000 4.519
Si Cl F
1 3 1
Cartesian
0.000 0.000 0.000
0.000 0.000 2.260
0.000 2.260 0.000
2.260 0.000 0.000
2.260 2.260 2.260

5.
SiClF2 (meta-GGA SCAN, single point on PBEsol structure); crystal system = tetragonal; magnetic moment = 0.000 μB per cell; formation energy from raw total energies = -1.28 eV/atom; space-group type = No. 141; total energy = -60.41 eV for the cell shown
1.0
-2.923 2.923 4.181
2.923 -2.923 4.181
2.923 2.923 -4.181
Si Cl F
2 2 4
Cartesian
2.923 1.461 1.045
0.000 1.461 3.136
2.923 -1.461 3.136
0.000 4.384 1.045
2.923 0.000 0.000
-1.461 1.461 2.090
0.000 0.000 4.181
1.461 1.461 2.090

6.
SiCl2F (meta-GGA SCAN, single point on PBEsol structure); crystal system = tetragonal; magnetic moment = 0.169 μB per cell; formation energy from raw total energies = -0.25 eV/atom; space-group type = No. 122; total energy = -61.06 eV for the cell shown
1.0
-2.717 2.717 6.088
2.717 -2.717 6.088
2.717 2.717 -6.088
Si Cl F
2 4 2
Cartesian
0.000 0.000 0.000
0.000 2.717 3.044
4.076 0.941 -1.522
0.941 1.359 1.522
-1.359 1.776 4.566
1.776 1.359 7.611
2.717 0.000 3.044
0.000 0.000 6.088

7.
SnClF (meta-GGA SCAN, single point on PBEsol structure); crystal system = orthorhombic; magnetic moment = 0.000 μB per cell; formation energy from raw total energies = -1.70 eV/atom; energy above the most stable polymorph in this dataset = 0.00 eV per formula unit; space-group type = No. 62; total energy = -210.15 eV for the cell shown
1.0
6.141 0.000 0.000
0.000 4.272 0.000
0.000 0.000 9.883
Sn Cl F
4 4 4
Cartesian
1.344 1.068 0.881
1.726 3.204 5.823
4.415 1.068 4.060
4.797 3.204 9.001
0.564 3.204 3.532
2.506 1.068 8.473
3.635 3.204 1.409
5.577 1.068 6.351
0.665 3.204 0.164
2.405 1.068 5.106
3.736 3.204 4.777
5.476 1.068 9.718

8.
Sn2Cl2F (meta-GGA SCAN, single point on PBEsol structure); crystal system = tetragonal; magnetic moment = 0.000 μB per cell; formation energy from raw total energies = -0.99 eV/atom; space-group type = No. 139; total energy = -96.28 eV for the cell shown
1.0
-2.879 2.879 3.839
2.879 -2.879 3.839
2.879 2.879 -3.839
Sn Cl F
2 2 1
Cartesian
0.000 0.000 1.650
0.000 0.000 6.028
2.879 0.000 1.919
0.000 2.879 1.919
0.000 0.000 3.839

9.
SnClF (meta-GGA SCAN, single point on PBEsol structure); crystal system = tetragonal; magnetic moment = 0.000 μB per cell; formation energy from raw total energies = -1.66 eV/atom; energy above the most stable polymorph in this dataset = 0.12 eV per formula unit; space-group type = No. 129; total energy = -104.83 eV for the cell shown
1.0
3.969 0.000 0.000
0.000 3.969 0.000
0.000 0.000 7.220
Sn Cl F
2 2 2
Cartesian
0.992 0.992 1.480
2.977 2.977 5.741
0.992 0.992 4.697
2.977 2.977 2.523
0.992 2.977 0.000
2.977 0.992 0.000

10.
TaSn2ClF (meta-GGA SCAN, single point on PBEsol structure); crystal system = tetragonal; magnetic moment = 0.000 μB per cell; formation energy from raw total energies = -0.14 eV/atom; space-group type = No. 123; total energy = -150.66 eV for the cell shown
1.0
5.360 0.000 0.000
0.000 5.360 0.000
0.000 0.000 4.617
Ta Sn Cl F
1 2 1 1
Cartesian
0.000 0.000 0.000
0.000 2.680 0.000
2.680 0.000 0.000
0.000 0.000 2.308
2.680 2.680 2.308

11.
TaClF8 (meta-GGA SCAN, single point on PBEsol structure); crystal system = orthorhombic; magnetic moment = 0.006 μB per cell; formation energy from raw total energies = -2.25 eV/atom; space-group type = No. 54; total energy = -501.72 eV for the cell shown
1.0
9.949 0.000 0.000
0.000 5.907 0.000
0.000 0.000 10.620
Ta Cl F
4 4 32
Cartesian
0.000 0.686 2.655
0.000 5.221 7.965
4.975 0.686 7.965
4.975 5.221 2.655
2.487 2.953 0.533
2.487 2.953 5.843
7.462 2.953 4.777
7.462 2.953 10.087
0.879 0.875 4.318
0.879 5.032 9.628
1.191 0.608 7.338
1.191 5.299 2.028
1.213 2.140 2.025
1.213 3.766 7.335
1.514 2.274 10.055
1.514 3.632 4.745
3.461 2.274 4.745
3.461 3.632 10.055
3.762 2.140 7.335
3.762 3.766 2.025
3.784 0.608 2.028
3.784 5.299 7.338
4.096 0.875 9.628
4.096 5.032 4.318
5.854 0.875 6.302
5.854 5.032 0.992
6.166 0.608 3.282
6.166 5.299 8.592
6.187 2.140 8.595
6.187 3.766 3.285
6.488 2.274 0.565
6.488 3.632 5.875
8.436 2.274 5.875
8.436 3.632 0.565
8.737 2.140 3.285
8.737 3.766 8.595
8.758 0.608 8.592
8.758 5.299 3.282
9.070 0.875 0.992
9.070 5.032 6.302

12.
TbCl2F (meta-GGA SCAN, single point on PBEsol structure); crystal system = monoclinic; magnetic moment = 0.000 μB per cell; formation energy from raw total energies = -3.17 eV/atom; space-group type = No. 15; total energy = -157.88 eV for the cell shown
1.0
4.394 -2.887 0.000
4.394 2.887 0.000
-2.282 0.000 6.352
Tb Cl F
2 4 2
Cartesian
2.683 1.536 4.764
3.824 -1.536 1.588
1.831 0.165 2.499
0.690 -0.165 5.675
5.817 0.165 0.677
4.676 -0.165 3.853
0.000 0.000 0.000
-1.141 0.000 3.176

13.
TcClF2 (meta-GGA SCAN, single point on PBEsol structure); crystal system = trigonal; magnetic moment = 0.022 μB per cell; formation energy from raw total energies = -0.77 eV/atom; space-group type = No. 166; total energy = -53.18 eV for the cell shown
1.0
1.389 0.802 9.218
-1.389 0.802 9.218
0.000 -1.604 9.218
Tc Cl F
1 1 2
Cartesian
0.000 0.000 0.000
0.000 0.000 13.827
0.000 0.000 10.619
0.000 0.000 17.035

14.
TiCl2F (meta-GGA SCAN, single point on PBEsol structure); crystal system = trigonal; magnetic moment = 0.474 μB per cell; formation energy from raw total energies = -0.50 eV/atom; space-group type = No. 166; total energy = -37.53 eV for the cell shown
1.0
1.715 0.990 7.735
-1.715 0.990 7.735
0.000 -1.980 7.735
Ti Cl F
1 2 1
Cartesian
0.000 0.000 0.000
0.000 0.000 2.132
0.000 0.000 21.072
0.000 0.000 11.602

15.
TlCl2F (meta-GGA SCAN, single point on PBEsol structure); crystal system = trigonal; magnetic moment = 0.043 μB per cell; formation energy from raw total energies = -0.04 eV/atom; energy above the most stable polymorph in this dataset = 2.04 eV per formula unit; space-group type = No. 166; total energy = -92.01 eV for the cell shown
1.0
1.913 1.105 7.845
-1.913 1.105 7.845
0.000 -2.209 7.845
Tl Cl F
1 2 1
Cartesian
0.000 0.000 0.000
0.000 0.000 2.295
0.000 0.000 21.238
0.000 0.000 11.767

16.
TlCl3F (meta-GGA SCAN, single point on PBEsol structure); crystal system = cubic; magnetic moment = 1.113 μB per cell; formation energy from raw total energies = -0.18 eV/atom; space-group type = No. 221; total energy = -100.75 eV for the cell shown
1.0
5.146 0.000 0.000
0.000 5.146 0.000
0.000 0.000 5.146
Tl Cl F
1 3 1
Cartesian
0.000 0.000 0.000
0.000 0.000 2.573
0.000 2.573 0.000
2.573 0.000 0.000
2.573 2.573 2.573

17.
TlCl2F (meta-GGA SCAN, single point on PBEsol structure); crystal system = cubic; magnetic moment = 0.086 μB per cell; formation energy from raw total energies = -0.55 eV/atom; energy above the most stable polymorph in this dataset = 0.00 eV per formula unit; space-group type = No. 225; total energy = -94.05 eV for the cell shown
1.0
0.000 3.252 3.252
3.252 0.000 3.252
3.252 3.252 0.000
Tl Cl F
1 2 1
Cartesian
0.000 0.000 0.000
1.626 1.626 1.626
4.878 4.878 4.878
3.252 3.252 3.252

18.
YCl3F (meta-GGA SCAN, single point on PBEsol structure); crystal system = cubic; magnetic moment = 1.011 μB per cell; formation energy from raw total energies = -1.75 eV/atom; space-group type = No. 221; total energy = -64.06 eV for the cell shown
1.0
5.188 0.000 0.000
0.000 5.188 0.000
0.000 0.000 5.188
Y Cl F
1 3 1
Cartesian
0.000 0.000 0.000
0.000 0.000 2.594
0.000 2.594 0.000
2.594 0.000 0.000
2.594 2.594 2.594

19.
Fe3Cl (meta-GGA SCAN, single point on PBEsol structure); crystal system = hexagonal; magnetic moment = 8.961 μB per cell; formation energy from raw total energies = 0.16 eV/atom; space-group type = No. 187; total energy = -61.74 eV for the cell shown
1.0
2.875 0.000 0.000
-1.438 2.490 0.000
0.000 0.000 7.319
Fe Cl
3 1
Cartesian
0.000 0.000 0.000
0.000 1.660 1.792
0.000 1.660 5.528
0.000 0.000 3.660

20.
FeCl (meta-GGA SCAN, single point on PBEsol structure); crystal system = tetragonal; magnetic moment = 6.496 μB per cell; formation energy from raw total energies = -0.22 eV/atom; space-group type = No. 129; total energy = -53.11 eV for the cell shown
1.0
2.928 0.000 0.000
0.000 2.928 0.000
0.000 0.000 7.664
Fe Cl
2 2
Cartesian
0.732 0.732 0.915
2.196 2.196 6.749
0.732 0.732 5.421
2.196 2.196 2.242

21.
FeCl (meta-GGA SCAN, single point on PBEsol structure); crystal system = monoclinic; magnetic moment = 6.473 μB per cell; formation energy from raw total energies = -0.27 eV/atom; space-group type = No. 12; total energy = -53.30 eV for the cell shown
1.0
7.812 -1.493 0.000
7.812 1.493 0.000
-0.061 0.000 2.963
Fe Cl
2 2
Cartesian
3.026 0.000 1.005
12.537 0.000 1.957
6.084 0.000 0.559
9.479 0.000 2.404

22.
FeCl (meta-GGA SCAN, single point on PBEsol structure); crystal system = orthorhombic; magnetic moment = 6.579 μB per cell; formation energy from raw total energies = -0.27 eV/atom; space-group type = No. 63; total energy = -53.31 eV for the cell shown
1.0
1.499 -7.656 0.000
1.499 7.656 0.000
0.000 0.000 2.995
Fe Cl
2 2
Cartesian
1.499 6.682 2.246
1.499 -6.682 0.749
1.499 2.253 2.246
1.499 -2.253 0.749

23.
FeCl (meta-GGA SCAN, single point on PBEsol structure); crystal system = cubic; magnetic moment = 3.000 μB per cell; formation energy from raw total energies = 0.13 eV/atom; space-group type = No. 225; total energy = -25.84 eV for the cell shown
1.0
0.000 2.461 2.461
2.461 0.000 2.461
2.461 2.461 0.000
Fe Cl
1 1
Cartesian
0.000 0.000 0.000
2.461 2.461 2.461

24.
GaFe2Cl (meta-GGA SCAN, single point on PBEsol structure); crystal system = cubic; magnetic moment = 5.033 μB per cell; formation energy from raw total energies = 0.58 eV/atom; space-group type = No. 225; total energy = -58.26 eV for the cell shown
1.0
0.000 2.959 2.959
2.959 0.000 2.959
2.959 2.959 0.000
Ga Fe Cl
1 2 1
Cartesian
0.000 0.000 0.000
1.480 1.480 1.480
4.439 4.439 4.439
2.959 2.959 2.959

25.
GaFeP2Cl (meta-GGA SCAN, single point on PBEsol structure); crystal system = tetragonal; magnetic moment = 4.135 μB per cell; formation energy from raw total energies = 0.87 eV/atom; space-group type = No. 123; total energy = -58.90 eV for the cell shown
1.0
4.628 0.000 0.000
0.000 4.628 0.000
0.000 0.000 4.707
Ga Fe P Cl
1 1 2 1
Cartesian
0.000 0.000 0.000
2.314 2.314 2.353
0.000 2.314 0.000
2.314 0.000 0.000
0.000 0.000 2.353

26.
FeGePCl2 (meta-GGA SCAN, single point on PBEsol structure); crystal system = tetragonal; magnetic moment = 3.084 μB per cell; formation energy from raw total energies = 0.17 eV/atom; space-group type = No. 123; total energy = -62.71 eV for the cell shown
1.0
4.407 0.000 0.000
0.000 4.407 0.000
0.000 0.000 4.759
Fe Ge P Cl
1 1 1 2
Cartesian
0.000 0.000 0.000
2.204 2.204 2.379
0.000 0.000 2.379
0.000 2.204 0.000
2.204 0.000 0.000

27.
FeHCl2 (meta-GGA SCAN, single point on PBEsol structure); crystal system = trigonal; magnetic moment = 3.000 μB per cell; space-group type = No. 166; total energy = -38.31 eV for the cell shown
1.0
1.736 1.002 5.959
-1.736 1.002 5.959
0.000 -2.004 5.959
Fe H Cl
1 1 2
Cartesian
0.000 0.000 0.000
0.000 0.000 8.938
0.000 0.000 7.351
0.000 0.000 10.525